{"formula": "ZnBr2", "functional": "GGA-PBE", "state": "relaxed", "raw_formation_energy_ev_per_atom": -0.74, "energy_ev_per_cell": -27.35, "mass_density_g_cm3": 4.33, "cell": [[-0.776, -5.657, -0.740], [4.298, -0.088, -3.834], [6.797, -1.935, 7.665]], "species": ["Zn", "Zn", "Zn", "Zn", "Br", "Br", "Br", "Br", "Br", "Br", "Br", "Br"], "frac_coords": [[0.000, 0.750, 0.375], [0.500, 0.250, 0.875], [0.500, 0.750, 0.125], [0.000, 0.250, 0.625], [0.500, 0.750, 0.354], [0.000, 0.750, 0.146], [0.500, 0.250, 0.646], [0.500, 0.250, 0.104], [0.500, 0.750, 0.896], [0.000, 0.250, 0.854], [0.000, 0.250, 0.396], [0.000, 0.750, 0.604]]}